# PBE with a Hubbard U CrCuSbO6, relaxed
# M_tot in μB per formula unit: 3.6
# Total energy in eV per formula unit: -55.45
# ρ in g cm⁻³: 5.710
data_CrCuSbO6
_cell_length_a 4.591
_cell_length_b 4.591
_cell_length_c 9.196
_cell_angle_alpha 90.00
_cell_angle_beta 90.00
_cell_angle_gamma 90.00
_symmetry_space_group_name_H-M 'P 42 n m'
_symmetry_Int_Tables_number 102
_symmetry_space_group_name_Hall 'P 4n -2n'
loop_
_atom_site_label
_atom_site_type_symbol
_atom_site_fract_x
_atom_site_fract_y
_atom_site_fract_z
_atom_site_occupancy
Cr1 Cr 0.000 0.000 0.000 1
Cu1 Cu 0.000 0.000 0.332 1
Sb1 Sb 0.000 0.000 0.666 1
O1 O 0.191 0.191 0.162 1
O2 O 0.192 0.192 0.836 1
O3 O 0.201 0.201 0.499 1